Entry from Alexandria: an optimized crystal structure of Ce6Au2N (PBE).

Polymorph energy (0 for the lowest one): 64.6 meV per atom
Final energy: -6.09 eV/atom
Magnetic moment: 0.174 μB/atom
DOS(E_F): 2.240 states/eV/atom
E_form (uncorrected): -0.48 eV/atom

a b c (Å): 3.4156 8.3895 8.3895
angles (deg): 119.70 90.00 90.00
Atoms (fractional coordinates):
Ce: 0.0000 0.0000 0.0000
Ce: 0.0000 0.5211 0.7113
Ce: 0.0000 0.7113 0.5211
Ce: 0.5000 0.1162 0.7464
Ce: 0.5000 0.2840 0.2840
Ce: 0.5000 0.7464 0.1162
Au: 0.0000 0.0534 0.4220
Au: 0.0000 0.4220 0.0534
N: 0.5000 0.7967 0.7967